Record 1
Material: KSc3P
Method: DFT, GGA-PBE
State: optimized geometry

Structure (extended XYZ):
```
5
Lattice="4.8004 0.0000 0.0000 0.0000 4.8004 0.0000 0.0000 0.0000 4.8004" Properties=species:S:1:pos:R:3 pbc="T T T"
K 0.0000 0.0000 0.0000
Sc 0.0000 0.0000 2.4002
Sc 0.0000 2.4002 0.0000
Sc 2.4002 0.0000 0.0000
P 2.4002 2.4002 2.4002
```

* offset from the most stable computed form: 1592 meV per atom
* total magnetization: 0.00 μB per formula unit
* E: -3.591 eV/atom
* crystal system: cubic
* space group: Pm-3m



Record 2
Material: CuBr
Method: DFT, GGA-PBE
State: optimized geometry

Structure (extended XYZ):
```
12
Lattice="3.9596 0.0000 0.0000 0.0000 14.4229 0.0000 0.0000 0.0000 5.3787" Properties=species:S:1:pos:R:3 pbc="T T T"
Cu 0.9899 2.3248 0.4847
Cu 0.9899 4.8866 0.4847
Cu 0.9899 10.8172 3.4604
Cu 2.9697 3.6057 1.9183
Cu 2.9697 9.5363 4.8940
Cu 2.9697 12.0981 4.8940
Br 0.9899 3.6057 3.8184
Br 0.9899 8.4681 4.0003
Br 0.9899 13.1662 4.0003
Br 2.9697 1.2567 1.3783
Br 2.9697 5.9548 1.3783
Br 2.9697 10.8172 1.5602
```

* formation energy (no corrections): -0.264 eV per atom
* total magnetization: 0.00 μB per formula unit
* E: -3.148 eV/atom
* crystal system: orthorhombic
* space group: Pmmn



Record 3
Material: RbThTeO5
Method: DFT, GGA-PBE
State: optimized geometry

Structure (extended XYZ):
```
16
Lattice="4.0430 -5.3134 0.0000 4.0430 5.3134 0.0000 -3.7000 0.0000 7.6778" Properties=species:S:1:pos:R:3 pbc="T T T"
Rb 1.2680 3.4431 5.7583
Rb 3.1180 -3.4431 1.9194
Th 4.0430 0.0000 0.0000
Th 2.1930 0.0000 3.8389
Te 3.1180 3.3225 1.9194
Te 1.2680 -3.3225 5.7583
O -1.7854 0.7625 6.8577
O 1.8890 2.2628 3.0466
O 0.0646 -0.7625 3.0188
O 4.3471 2.2628 0.7923
O 1.2680 0.5603 5.7583
O 3.1180 -0.5603 1.9194
O 0.0390 -2.2628 6.8855
O 4.3215 0.7625 4.6589
O 2.4971 -2.2628 4.6311
O 6.1715 -0.7625 0.8200
```

* formation energy (no corrections): -2.081 eV per atom
* total magnetization: 0.88 μB per formula unit
* E: -6.621 eV/atom
* crystal system: monoclinic
* space group: C2/c



Record 4
Material: Ac2CdHg
Method: DFT, GGA-PBE
State: optimized geometry

Structure (extended XYZ):
```
4
Lattice="0.0000 4.0579 4.0579 4.0579 0.0000 4.0579 4.0579 4.0579 0.0000" Properties=species:S:1:pos:R:3 pbc="T T T"
Ac 2.0290 2.0290 2.0290
Ac 6.0869 6.0869 6.0869
Cd 0.0000 0.0000 0.0000
Hg 4.0579 4.0579 4.0579
```

* offset from the most stable computed form: 2 meV per atom
* total magnetization: 0.47 μB per formula unit
* E: -2.739 eV/atom
* crystal system: cubic
* space group: Fm-3m



Record 5
Material: AcLa2Dy
Method: DFT, GGA-PBE
State: optimized geometry

Structure (extended XYZ):
```
4
Lattice="1.8383 1.0614 13.0909 -1.8383 1.0614 13.0909 0.0000 -2.1227 13.0909" Properties=species:S:1:pos:R:3 pbc="T T T"
Ac 0.0000 0.0000 0.0000
La 0.0000 0.0000 3.6143
La 0.0000 0.0000 35.6584
Dy 0.0000 0.0000 19.6364
```

* offset from the most stable computed form: 140 meV per atom
* total magnetization: 0.00 μB per formula unit
* E: -4.481 eV/atom
* crystal system: trigonal
* space group: R-3m



Record 6
Material: La3PmPr2
Method: DFT, GGA-PBE
State: optimized geometry

Structure (extended XYZ):
```
12
Lattice="7.0037 0.0000 0.0000 0.0000 17.8754 0.0000 0.0000 0.0000 3.4949" Properties=species:S:1:pos:R:3 pbc="T T T"
La 0.0000 0.0000 0.0000
La 1.7083 5.8946 0.0000
La 1.7936 14.8323 1.7474
La 3.5019 8.9377 1.7474
La 5.2101 3.0431 1.7474
La 5.2955 11.9808 0.0000
Pm 0.0000 8.9377 0.0000
Pm 3.5019 0.0000 1.7474
Pr 1.6488 2.8814 1.7474
Pr 1.8530 11.8191 0.0000
Pr 5.1507 6.0563 0.0000
Pr 5.3549 14.9940 1.7474
```

* offset from the most stable computed form: 206 meV per atom
* total magnetization: 0.00 μB per formula unit
* E: -4.633 eV/atom
* crystal system: orthorhombic
* space group: Pnnm



Record 7
Material: MnAg2GeB
Method: DFT, GGA-PBE
State: optimized geometry

Structure (extended XYZ):
```
5
Lattice="5.0923 0.0000 0.0000 0.0000 5.0923 0.0000 0.0000 0.0000 3.7469" Properties=species:S:1:pos:R:3 pbc="T T T"
Mn 0.0000 0.0000 0.0000
Ag 0.0000 2.5462 1.8734
Ag 2.5462 0.0000 1.8734
Ge 2.5462 2.5462 1.8734
B 2.5462 2.5462 0.0000
```

* total magnetization: 4.31 μB per formula unit
* E: -4.165 eV/atom
* crystal system: tetragonal
* space group: P4/mmm



Record 8
Material: Ac2PaH12Pd3
Method: DFT, GGA-PBE
State: optimized geometry

Structure (extended XYZ):
```
18
Lattice="3.2317 1.8658 5.5290 -3.2317 1.8658 5.5290 0.0000 -3.7316 5.5290" Properties=species:S:1:pos:R:3 pbc="T T T"
Ac 0.0000 0.0000 1.7628
Ac 0.0000 0.0000 14.8242
Pa 0.0000 0.0000 8.2935
H -1.8045 -1.0418 7.6000
H 0.0000 -1.3816 6.2578
H -1.1965 0.6908 6.2578
H 0.0000 -2.0836 8.9871
H -1.8045 1.0418 8.9871
H -1.1965 -0.6908 10.3292
H 1.1965 0.6908 6.2578
H 1.8045 -1.0418 7.6000
H 0.0000 2.0836 7.6000
H 1.1965 -0.6908 10.3292
H 0.0000 1.3816 10.3292
H 1.8045 1.0418 8.9871
Pd -1.6158 -0.9329 5.5290
Pd -1.6158 0.9329 11.0580
Pd 0.0000 1.8658 5.5290
```

* total magnetization: 0.00 μB per formula unit
* E: -4.345 eV/atom
* crystal system: trigonal
* space group: R-3m



Record 9
Material: ScCoAs2
Method: DFT, GGA-PBE
State: optimized geometry

Structure (extended XYZ):
```
4
Lattice="3.5926 0.0000 0.0000 0.0000 3.5926 0.0000 0.0000 0.0000 5.3535" Properties=species:S:1:pos:R:3 pbc="T T T"
Sc 0.0000 0.0000 0.0000
Co 1.7963 1.7963 3.4028
As 0.0000 0.0000 2.7294
As 1.7963 1.7963 0.7201
```

* total magnetization: 1.26 μB per formula unit
* E: -6.096 eV/atom
* crystal system: tetragonal
* space group: P4mm



Record 10
Material: BaCeAs2
Method: DFT, GGA-PBE
State: optimized geometry

Structure (extended XYZ):
```
4
Lattice="2.2071 1.2743 7.4476 -2.2071 1.2743 7.4476 0.0000 -2.5485 7.4476" Properties=species:S:1:pos:R:3 pbc="T T T"
Ba 0.0000 0.0000 0.0000
Ce 0.0000 0.0000 11.1714
As 0.0000 0.0000 5.2508
As 0.0000 0.0000 17.0921
```

* offset from the most stable computed form: 0 meV per atom
* total magnetization: 0.00 μB per formula unit
* E: -5.543 eV/atom
* crystal system: trigonal
* space group: R-3m



Record 11
Material: BaTlRe
Method: DFT, GGA-PBE
State: optimized geometry

Structure (extended XYZ):
```
3
Lattice="0.0000 3.8084 3.8084 3.8084 0.0000 3.8084 3.8084 3.8084 0.0000" Properties=species:S:1:pos:R:3 pbc="T T T"
Ba 0.0000 0.0000 0.0000
Tl 1.9042 1.9042 1.9042
Re 5.7126 5.7126 5.7126
```

* offset from the most stable computed form: 841 meV per atom
* total magnetization: 2.75 μB per formula unit
* E: -3.834 eV/atom
* crystal system: cubic
* space group: F-43m



Record 12
Material: NdAgP4O12
Method: DFT, GGA-PBE
State: optimized geometry

Structure (extended XYZ):
```
72
Lattice="7.3703 0.0000 0.0000 0.0000 13.4081 0.0000 -7.2921 0.0000 10.0897" Properties=species:S:1:pos:R:3 pbc="T T T"
Nd 0.0908 2.9552 0.2094
Nd -3.5552 3.7488 5.2542
Nd 3.6334 9.6593 4.8355
Nd -0.0126 10.4529 9.8803
Ag -3.6118 2.9938 9.4215
Ag 0.0342 3.7102 4.3767
Ag 0.0439 9.6979 5.7130
Ag 3.6900 10.4143 0.6681
P -1.7048 1.2173 2.9693
P -5.3508 5.4868 8.0142
P -4.6928 8.3793 8.1034
P -1.0468 11.7328 3.0586
P 0.9334 8.2259 2.6712
P -2.7127 11.8862 7.7160
P -1.8002 8.0498 7.5304
P 1.8459 12.0623 2.4856
P -1.7677 1.3458 7.6040
P 1.8784 5.3583 2.5592
P 2.7909 1.5219 2.3736
P -0.8552 5.1822 7.4185
P 1.1249 1.6753 7.0311
P 4.7710 5.0288 1.9862
P 5.4290 7.9213 2.0755
P 1.7829 12.1908 7.1203
O -6.0286 1.7771 8.5119
O -2.3825 4.9269 3.4671
O -0.5801 1.4822 2.0135
O -4.2262 5.2218 7.0583
O -5.2144 6.9604 8.6653
O -1.5683 13.1518 3.6205
O -1.9021 2.1595 4.1285
O -5.5482 4.5446 9.1734
O -5.2434 9.4409 9.0152
O -1.5973 10.6713 3.9703
O -0.5898 7.7732 2.9533
O -4.2359 12.3389 7.9981
O 0.9887 9.2013 1.5384
O -2.6574 10.9109 6.5832
O -2.8857 2.1884 7.0364
O 0.7603 4.5157 1.9915
O -2.0739 8.1810 6.0532
O 1.5722 11.9311 1.0084
O 2.2080 1.9359 1.0494
O -1.4380 4.7682 6.0942
O -3.1091 8.3232 8.4236
O 0.5369 11.7890 3.3788
O 1.6175 6.8833 2.1340
O -2.0285 13.2289 7.1789
O 2.1067 0.1792 2.9108
O -1.5393 6.5248 7.9556
O -0.4587 1.6191 6.7109
O 3.1873 5.0849 1.6660
O 1.5162 8.6399 3.9955
O -2.1299 11.4722 9.0403
O -1.4940 1.4770 9.0813
O 2.1521 5.2271 4.0365
O -0.6821 8.8924 8.0981
O 2.9639 11.2197 3.0533
O 2.7356 2.4972 3.5064
O -0.9105 4.2068 8.5513
O 4.3141 1.0691 2.0916
O 0.6680 5.6349 7.1364
O 1.6755 2.7368 6.1193
O 5.3216 3.9672 1.0745
O 5.6263 8.8635 0.9163
O 1.9803 11.2486 5.9611
O 1.6465 0.2563 6.4692
O 5.2926 6.4477 1.4244
O 4.3044 8.1863 3.0313
O 0.6583 11.9259 8.0761
O 2.4607 8.4812 6.6225
O 6.1068 11.6310 1.5777
```

* formation energy (no corrections): -2.245 eV per atom
* total magnetization: 0.00 μB per formula unit
* E: -7.176 eV/atom
* crystal system: monoclinic
* space group: P2_1/c